{"formula": "Li3Ca2Ga2", "functional": "GGA-PBE", "state": "optimized geometry", "cell": [[4.796, 0.000, 0.000], [-2.398, 5.060, 0.687], [0.000, 1.135, 6.852]], "species": ["Li", "Li", "Li", "Ca", "Ca", "Ga", "Ga"], "fractional_positions": [[0.674, 0.348, 0.712], [0.000, 0.000, 0.000], [0.326, 0.652, 0.288], [0.361, 0.722, 0.744], [0.639, 0.278, 0.256], [0.085, 0.171, 0.602], [0.915, 0.829, 0.398]], "spacegroup": "C2/m, No. 12", "dos_at_fermi_per_ev_cell": 2.6, "volume_a3_per_atom": 23.22, "magmom_total_mub_per_fu": 0.0, "delta_e_f_kj_per_mol_atoms": -24}

***

{"formula": "Li3Ag", "functional": "GGA-PBE", "state": "optimized geometry", "cell": [[-2.268, -0.683, -1.671], [-1.687, -1.966, 3.093], [-2.729, 4.974, 1.673]], "species": ["Li", "Li", "Li", "Ag"], "fractional_positions": [[0.000, 0.000, 0.500], [0.500, 0.500, 0.771], [0.500, 0.500, 0.229], [0.000, 0.000, 0.000]], "spacegroup": "Pmmm, No. 47", "dos_at_fermi_per_ev_cell": 1.3, "volume_a3_per_atom": 17.30, "magmom_total_mub_per_fu": 0.0, "delta_e_f_kj_per_mol_atoms": -12}